VASP calculation (GGA-PBE) on a relaxed structure of Ti2P2Cl.

Values from the calculation:
- final energy (eV/atom) = -6.622
- spin magnetization (μB/atom) = 0.00
- SG = No. 127
- energy relative to the elements, uncorrected (kJ/mol of formula units) = -449

Lattice parameters (Å, degrees): 6.9266 6.9266 3.2723 90.00 90.00 90.00
Sites, in units of the cell vectors:
1 P 0.1308 0.6308 0.5000
2 P 0.6308 0.8692 0.5000
3 P 0.8692 0.3692 0.5000
4 P 0.3692 0.1308 0.5000
5 Cl 0.0000 0.0000 0.0000
6 Cl 0.5000 0.5000 0.0000
7 Ti 0.3476 0.8476 0.0000
8 Ti 0.8476 0.6524 0.0000
9 Ti 0.6524 0.1524 0.0000
10 Ti 0.1524 0.3476 0.0000

VASP calculation (GGA-PBE) on a relaxed structure of Li2CoOs.

Values from the calculation:
- final energy (eV/atom) = -5.374
- ΔE_f (eV per atom) = 0.167
- E above lowest polymorph (meV/atom) = 40
- spin magnetization (μB/atom) = 0.00
- SG = No. 8

Lattice parameters (Å, degrees): 4.3553 4.3553 4.8683 84.01 84.01 34.11
Sites, in units of the cell vectors:
1 Co 0.2505 0.2505 0.3001
2 Li 0.9914 0.9914 0.9726
3 Li 0.7509 0.7509 0.7757
4 Os 0.5072 0.5072 0.4516

VASP calculation (GGA-PBE) on a relaxed structure of Sm2Dy2Se5.

Values from the calculation:
- final energy (eV/atom) = -5.758
- spin magnetization (μB/atom) = 0.00
- SG = No. 64
- energy relative to the elements, uncorrected (kJ/mol of formula units) = -1521

Lattice parameters (Å, degrees): 7.7187 8.3354 8.3354 124.65 90.00 90.00
Sites, in units of the cell vectors:
1 Sm 0.0000 0.8026 0.1974
2 Sm 0.5000 0.3026 0.6974
3 Sm 0.0000 0.1974 0.8026
4 Sm 0.5000 0.6974 0.3026
5 Dy 0.3436 0.1511 0.1511
6 Dy 0.6564 0.8489 0.8489
7 Dy 0.8436 0.3489 0.3489
8 Dy 0.1564 0.6511 0.6511
9 Se 0.0000 0.0000 0.0000
10 Se 0.5000 0.5000 0.5000
11 Se 0.1543 0.2042 0.4782
12 Se 0.8457 0.5218 0.7958
13 Se 0.6543 0.0218 0.2958
14 Se 0.3457 0.7042 0.9782
15 Se 0.8457 0.7958 0.5218
16 Se 0.1543 0.4782 0.2042
17 Se 0.3457 0.9782 0.7042
18 Se 0.6543 0.2958 0.0218

VASP calculation (GGA-PBE) on a relaxed structure of YGa4Ag8.

Values from the calculation:
- final energy (eV/atom) = -3.313
- ΔE_f (eV per atom) = -0.129
- spin magnetization (μB/atom) = 0.00
- SG = No. 139

Lattice parameters (Å, degrees): 5.3443 7.1664 7.1664 82.01 68.11 68.11
Sites, in units of the cell vectors:
1 Y 0.0000 0.0000 0.0000
2 Ga 0.0000 0.0000 0.5000
3 Ga 0.5000 0.0000 0.5000
4 Ga 0.0000 0.5000 0.0000
5 Ga 0.5000 0.5000 0.0000
6 Ag 0.0000 0.3468 0.6532
7 Ag 0.0000 0.6532 0.3468
8 Ag 0.3468 0.6532 0.6532
9 Ag 0.6532 0.3468 0.3468
10 Ag 0.5000 0.7851 0.2149
11 Ag 0.5000 0.2149 0.7851
12 Ag 0.2851 0.2149 0.2149
13 Ag 0.7149 0.7851 0.7851

VASP calculation (GGA-PBE) on a relaxed structure of NaAl2Pd2.

Values from the calculation:
- final energy (eV/atom) = -4.486
- ΔE_f (eV per atom) = -0.648
- E above lowest polymorph (meV/atom) = 2
- spin magnetization (μB/atom) = 0.00
- SG = No. 127

Lattice parameters (Å, degrees): 7.6313 7.6313 2.8282 90.00 90.00 90.00
Sites, in units of the cell vectors:
1 Na 0.0000 0.0000 0.0000
2 Na 0.5000 0.5000 0.0000
3 Al 0.1407 0.6407 0.5000
4 Al 0.6407 0.8593 0.5000
5 Al 0.8593 0.3593 0.5000
6 Al 0.3593 0.1407 0.5000
7 Pd 0.3470 0.8470 0.0000
8 Pd 0.8470 0.6530 0.0000
9 Pd 0.6530 0.1530 0.0000
10 Pd 0.1530 0.3470 0.0000

VASP calculation (GGA-PBE) on a relaxed structure of Cs2Te2HPb.

Values from the calculation:
- final energy (eV/atom) = -2.908
- spin magnetization (μB/atom) = 0.01
- SG = No. 72

Lattice parameters (Å, degrees): 7.4201 11.5867 9.8729 125.93 112.07 90.00
Sites, in units of the cell vectors:
1 Cs 0.6080 0.9654 0.2159
2 Cs 0.1080 0.2505 0.2159
3 Cs 0.8920 0.7495 0.7841
4 Cs 0.3920 0.0346 0.7841
5 Te 0.3852 0.5372 0.7705
6 Te 0.6148 0.4628 0.2295
7 Te 0.1148 0.7667 0.2295
8 Te 0.8852 0.2333 0.7705
9 H 0.2500 0.0000 0.0000
10 H 0.7500 0.0000 0.0000
11 Pb 0.7500 0.5000 0.0000
12 Pb 0.2500 0.5000 0.0000

VASP calculation (GGA-PBE) on a relaxed structure of LaRhAu2Se.

Values from the calculation:
- final energy (eV/atom) = -4.244
- spin magnetization (μB/atom) = 0.00
- SG = No. 123
- energy relative to the elements, uncorrected (kJ/mol of formula units) = 106

Lattice parameters (Å, degrees): 4.8384 5.6636 4.8384 90.00 90.00 90.00
Sites, in units of the cell vectors:
1 Rh 0.5000 0.5000 0.5000
2 Au 0.0000 0.0000 0.5000
3 Au 0.5000 0.0000 0.0000
4 Se 0.0000 0.0000 0.0000
5 La 0.0000 0.5000 0.0000

VASP calculation (GGA-PBE) on a relaxed structure of LiMnRe2.

Values from the calculation:
- final energy (eV/atom) = -8.595
- ΔE_f (eV per atom) = 0.400
- E above lowest polymorph (meV/atom) = 223
- spin magnetization (μB/atom) = 0.39
- SG = No. 123

Lattice parameters (Å, degrees): 3.1164 3.1164 5.3213 90.00 90.00 90.00
Sites, in units of the cell vectors:
1 Li 0.5000 0.5000 0.2500
2 Mn 0.5000 0.5000 0.7500
3 Re 0.0000 0.0000 0.0084
4 Re 0.0000 0.0000 0.4916